DFT (PBE) results for GaTcAsI2 after structural relaxation.

Calculated values
- DOS at the Fermi energy (states/eV/f.u.) = 6.1

Unit cell a=5.3105 b=5.3105 c=4.8950 alpha=90.00 beta=90.00 gamma=90.00
Sites, in units of the cell vectors:
Ga 0.0000 0.0000 0.0000
Tc 0.0000 0.0000 0.5000
As 0.5000 0.5000 0.0000
I 0.0000 0.5000 0.5000
I 0.5000 0.0000 0.5000

DFT (PBE) results for LiVSb2 after structural relaxation.

Calculated values
- DOS at the Fermi energy (states/eV/f.u.) = 0.8

Unit cell a=7.3970 b=7.3970 c=7.3970 alpha=128.17 beta=128.17 gamma=76.35
Sites, in units of the cell vectors:
Li 0.0000 0.0000 0.0000
Li 0.7500 0.2500 0.5000
V 0.2500 0.7500 0.5000
V 0.5000 0.5000 0.0000
Sb 0.1653 0.6250 0.0403
Sb 0.3750 0.4153 0.5403
Sb 0.5847 0.1250 0.9597
Sb 0.8750 0.8347 0.4597

DFT (PBE) results for ZnMo4Ir after structural relaxation.

Calculated values
- DOS at the Fermi energy (states/eV/f.u.) = 4.9
- formation energy from the elements (eV per formula unit) = 2.1

Unit cell a=5.1670 b=5.1670 c=5.1670 alpha=60.00 beta=60.00 gamma=60.00
Sites, in units of the cell vectors:
Zn 0.0000 0.0000 0.0000
Mo 0.3734 0.3734 0.3734
Mo 0.3734 0.3734 0.8797
Mo 0.3734 0.8797 0.3734
Mo 0.8797 0.3734 0.3734
Ir 0.7500 0.7500 0.7500

DFT (PBE) results for LiNd2ErS4 after structural relaxation.

Calculated values
- DOS at the Fermi energy (states/eV/f.u.) = 2.6

Unit cell a=6.8237 b=3.9601 c=6.8744 alpha=90.00 beta=109.38 gamma=90.00
Sites, in units of the cell vectors:
Li 0.0000 0.0000 0.0000
Nd 0.0000 0.5000 0.5000
Nd 0.5000 0.0000 0.5000
Er 0.5000 0.5000 0.0000
S 0.2440 0.5000 0.2323
S 0.2536 0.0000 0.7694
S 0.7464 0.0000 0.2306
S 0.7560 0.5000 0.7677

So what do the calculations give for theoretical density? Going down the list: 6.0; 4.1; 10.9; 5.6 Mg/m³.
So what do the calculations give for magnetic moment? Going down the list: 0.00; 0.04; 0.00; 0.00 μB per cell.
So what do the calculations give for E? Going down the list: -17.230; -36.336; -51.340; -47.842 eV/cell.